No. 1
The following is a PBE calculation of a geometry-optimized Rb2SiSnBr6 structure, from Alexandria via LeMat-Bulk.

a b c (Å): 7.9842 7.9842 7.9822
angles (deg): 59.99 59.99 90.00
Fractional positions:
Si: 0.5000 0.5000 0.0000
Br: 0.2597 0.2597 0.4805
Br: 0.7403 0.7403 0.5195
Br: 0.2597 0.2597 0.0000
Br: 0.7403 0.7403 0.0000
Br: 0.7403 0.2597 0.0000
Br: 0.2597 0.7403 0.0000
Sn: 0.0000 0.0000 0.0000
Rb: 0.7500 0.2500 0.5000
Rb: 0.2500 0.7500 0.5000

Computed properties:
Raw total energy = -31.75 eV per cell
SG = Fm-3m, No. 225
Uncorrected formation energy = -1036 meV/atom

No. 2
The following is a PBE calculation of a geometry-optimized Nb2ZnTcH structure, from Alexandria via LeMat-Bulk.

a b c (Å): 4.1259 4.1259 3.9337
angles (deg): 90.00 90.00 90.00
Fractional positions:
Zn: 0.0000 0.0000 0.5000
Nb: 0.0000 0.5000 0.0000
Nb: 0.5000 0.0000 0.0000
Tc: 0.5000 0.5000 0.5000
H: 0.0000 0.0000 0.0000

Computed properties:
Raw total energy = -35.21 eV per cell
SG = P4/mmm, No. 123
Polymorph energy (0 for the lowest one) = 0.37 eV per formula unit

No. 3
The following is a PBE calculation of a geometry-optimized SrTcRh2 structure, from Alexandria via LeMat-Bulk.

a b c (Å): 4.5328 2.9140 5.7385
angles (deg): 80.82 90.00 90.00
Site moments in Bohr magnetons follow the coordinates.
Fractional positions:
Rh: 0.0000 0.1232 0.9529  0.06
Rh: 0.5000 0.1116 0.2332  0.10
Sr: 0.0000 0.5281 0.4588  0.01
Tc: 0.5000 0.7371 0.8551  0.60

Computed properties:
Raw total energy = -25.44 eV per cell
SG = Pm, No. 6
Polymorph energy (0 for the lowest one) = 0.75 eV per formula unit
Energy of formation from the pure elements = 31.6 kJ/mol of atoms

No. 4
The following is a PBE calculation of a geometry-optimized Tm5In4Cu structure, from Alexandria via LeMat-Bulk.

a b c (Å): 3.5009 3.5009 20.0937
angles (deg): 90.00 90.00 90.00
Fractional positions:
Tm: 0.5000 0.5000 0.0826
Tm: 0.5000 0.5000 0.2910
Tm: 0.5000 0.5000 0.5000
Tm: 0.5000 0.5000 0.7090
Tm: 0.5000 0.5000 0.9174
In: 0.0000 0.0000 0.1868
In: 0.0000 0.0000 0.3953
In: 0.0000 0.0000 0.6047
In: 0.0000 0.0000 0.8132
Cu: 0.0000 0.0000 0.0000

Computed properties:
Raw total energy = -41.50 eV per cell
SG = P4/mmm, No. 123
Energy of formation from the pure elements = -39.5 kJ/mol of atoms

No. 5
The following is a PBE calculation of a geometry-optimized La2TaCuRe structure, from Alexandria via LeMat-Bulk.

a b c (Å): 5.5686 4.6524 5.5686
angles (deg): 90.00 90.00 90.00
Site moments in Bohr magnetons follow the coordinates.
Fractional positions:
Re: 0.5000 0.5000 0.5000  2.68
La: 0.0000 0.0000 0.5000  -0.01
La: 0.5000 0.0000 0.0000  -0.02
Cu: 0.0000 0.5000 0.0000  0.03
Ta: 0.0000 0.0000 0.0000  0.23

Computed properties:
Raw total energy = -30.34 eV per cell
SG = P4/mmm, No. 123
Energy of formation from the pure elements = 152.6 kJ/mol of atoms

No. 6
The following is a PBE calculation of a geometry-optimized CdCu2Au structure, from Alexandria via LeMat-Bulk.

a b c (Å): 8.9740 8.9740 8.9740
angles (deg): 18.64 18.64 18.64
Fractional positions:
Au: 0.5081 0.5081 0.5081
Cd: 0.7446 0.7446 0.7446
Cu: 0.9919 0.9919 0.9919
Cu: 0.2554 0.2554 0.2554

Computed properties:
Raw total energy = -12.13 eV per cell
SG = R3m, No. 160
Energy of formation from the pure elements = 6.2 kJ/mol of atoms